First-principles (PBE) data for a relaxed structure of KRb2HgCl5, as listed in Alexandria.

Cell and atoms, written as extended XYZ:
```
18
Lattice="-1.658 -2.428 -3.444 -4.271 -3.816 7.724 -10.600 9.143 -1.344" Properties=species:S:1:pos:R:3 pbc="T T T"
K -9.369 0.667 1.063
K -2.407 -1.868 2.476
Rb -12.982 2.703 1.366
Rb -8.403 5.247 0.345
Rb -4.851 1.320 1.404
Rb -6.867 -3.434 2.750
Hg -11.003 7.183 -2.745
Hg -9.565 -0.801 5.169
Cl -14.457 5.297 3.224
Cl -11.765 5.249 -1.015
Cl -13.030 2.175 4.739
Cl -9.972 3.370 2.424
Cl -11.220 -0.942 3.088
Cl -7.328 2.134 -0.954
Cl -7.525 0.029 3.601
Cl -3.854 1.029 -1.847
Cl -4.942 -1.865 0.717
Cl -0.790 -0.057 0.421
```

Properties
As for the space group: No. 36. Its uncorrected energy is -2.8969 eV per atom. The uncorrected formation energy is -1.5005 eV per atom.